Material: ThZn17Ag
Method: DFT, PBE
State: optimized geometry

Properties
Calculated total energy, eV per atom: -1.767
Magnetic moment, μB per formula unit: 0.00

a b c (Å): 8.9939 8.9939 13.3824
angles (deg): 90.00 90.00 120.00
Space group R3m (No. 160, hexagonal axes)
Unique sites:
1 Th 0.0000 0.0000 0.0000
2 Zn 0.0000 0.0000 0.5605
3 Zn 0.0000 0.0000 0.7594
4 Zn 0.0000 0.5000 0.8171
5 Zn 0.0321 0.3523 0.3328
6 Zn 0.1689 0.3377 0.8411
7 Zn 0.1698 0.3395 0.5054
8 Ag 0.0000 0.0000 0.2521